A relaxed structure of La2ReMo. Source: Alexandria, functional PBE.

Cell and atoms, written as POSCAR:
```
La2ReMo
1.0
-1.870 5.810 -1.317
-1.038 4.286 -4.420
-4.997 0.407 -1.539
La Mo Re
2 1 1
Cartesian
-2.947 9.916 -5.659
-5.905 7.988 -5.505
-3.846 5.742 -3.850
-2.068 2.203 -1.636
```

Computed properties:
The value obtained for the formation energy is 0.311 eV per atom. The value obtained for the energy above the most stable polymorph in this dataset is 0.532 eV/f.u. The value obtained for the theoretical density is 9.26 g/cm³. Its space group is Imm2.

***

A relaxed structure of Be4Cu. Source: Alexandria, functional PBE.

Cell and atoms, written as POSCAR:
```
Be4Cu
1.0
-3.676 -0.641 1.442
2.867 -2.525 -1.184
1.746 1.517 3.264
Be Cu
4 1
Cartesian
-1.432 -1.221 1.364
0.121 0.157 2.310
2.370 -0.429 2.158
0.817 -1.807 1.211
0.000 0.000 0.000
```

Computed properties:
The value obtained for the formation energy is -0.023 eV per atom. The value obtained for the energy above the most stable polymorph in this dataset is 0.000 eV/f.u. The value obtained for the theoretical density is 3.79 g/cm³. Its space group is I4/m.

***

A relaxed structure of ThInOsPd. Source: Alexandria, functional PBE.

Cell and atoms, written as POSCAR:
```
ThInOsPd
1.0
-1.246 3.940 -2.609
-3.156 -0.422 -3.707
-4.497 1.870 0.395
Os Pd Th In
1 1 1 1
Cartesian
0.000 0.000 0.000
-4.450 2.694 -2.961
-6.674 4.041 -4.441
-2.225 1.347 -1.480
```

Computed properties:
The value obtained for the formation energy is -0.281 eV per atom. The value obtained for the theoretical density is 12.95 g/cm³. Its space group is F-43m.

***

A relaxed structure of Na2SrZrO4. Source: Alexandria, functional PBE.

Cell and atoms, written as POSCAR:
```
Na2SrZrO4
1.0
-1.477 2.791 -1.192
-5.357 -1.811 2.396
3.136 3.314 3.874
Na Sr Zr O
2 1 1 4
Cartesian
0.829 3.052 1.341
-1.110 0.752 3.135
-3.417 0.490 0.602
0.000 0.000 0.000
-1.220 1.709 0.735
-2.478 2.585 4.344
1.359 2.241 3.563
-3.580 -0.737 2.708
```

Computed properties:
The formation energy (no corrections) is -2.5002 eV per atom. The value obtained for the theoretical density is 4.16 g/cm³. Its space group is P2/m.

***

A relaxed structure of Li2MnPbI6. Source: Alexandria, functional PBE.

Cell and atoms, written as POSCAR:
```
Li2MnPbI6
1.0
7.581 0.000 0.001
3.791 6.566 0.000
3.791 2.188 6.984
Li Mn Pb I
2 1 1 6
Cartesian
7.582 4.377 3.273
3.791 2.189 6.875
3.790 2.188 0.174
11.372 6.566 3.749
6.286 2.175 1.659
6.322 6.600 1.659
10.136 4.357 1.659
8.574 6.446 5.326
8.877 2.483 5.327
5.293 4.202 5.326
```

Computed properties:
The formation energy (no corrections) is -0.7592 eV per atom. The value obtained for the theoretical density is 4.96 g/cm³. Its space group is R3.

***

A relaxed structure of Na3Zn2PdO6. Source: Alexandria, functional PBE.

Cell and atoms, written as POSCAR:
```
Na3Zn2PdO6
1.0
5.418 0.002 -0.004
-2.706 4.693 -0.004
-0.908 -1.573 5.332
Na Zn Pd O
3 2 1 6
Cartesian
-1.788 3.114 2.662
3.591 0.008 2.662
0.902 1.561 2.662
0.000 3.131 -0.004
2.712 1.565 -0.004
0.000 0.000 0.000
2.671 1.627 4.231
1.847 3.198 1.076
-0.867 1.496 1.093
0.074 3.126 4.231
-0.044 -0.076 4.248
1.729 -0.004 1.093
```

Computed properties:
The formation energy (no corrections) is -1.1692 eV per atom. The value obtained for the theoretical density is 4.93 g/cm³. Its space group is C2/m.